Crystalline YNpCr2O8 at its relaxed geometry. Source: the Alexandria database, functional GGA+U.

Cell and atoms, written as POSCAR:
```
YNpCr2O8
1.0
3.360 -3.406 0.000
3.360 3.406 0.000
0.000 0.000 6.632
Y Np Cr O
1 1 2 8
Cartesian
0.000 0.000 0.000
0.000 0.000 3.316
3.360 0.000 1.585
3.360 0.000 5.047
1.355 0.000 1.800
1.355 0.000 4.832
3.360 1.350 3.316
3.360 1.197 0.000
3.360 -1.197 0.000
3.360 -1.350 3.316
5.364 0.000 1.800
5.364 0.000 4.832
```

Space-group type: Cmmm (65)
Total energy: -8.58 eV/atom
Crystal system: orthorhombic
Theoretical density: 6.10 g/cm3